Entry 1:
ScV3W: optimized geometry, PBE.

abc: 4.6198 4.6198 4.6198
angles: 90.00 90.00 90.00
Space group Pm-3m (No. 221)
Unique sites:
Sc  0.0000  0.0000  0.0000
V  0.0000  0.5000  0.5000
W  0.5000  0.5000  0.5000

energy above the lowest structure with this stoichiometry	0	meV/atom
ΔH_f (0 K)	1.021	eV/atom
spin magnetization	0.0	μB per formula unit

Entry 2:
Pr2Si5Ir3: optimized geometry, PBE.

abc: 11.6616 11.7065 5.9428
angles: 90.00 120.47 90.00
Space group C2/c (No. 15)
Unique sites:
Pr  0.2320  0.1300  0.2318
Si  0.0000  0.0008  0.2500
Si  0.0000  0.2720  0.2500
Si  0.0000  0.2730  0.7500
Si  0.1529  0.3927  0.1537
Ir  0.0000  0.5004  0.2500
Ir  0.1120  0.1387  0.6132

formation energy (no corrections)	-0.949	eV per atom
spin magnetization	0.0	μB per formula unit

Entry 3:
Mg2Ge2Pd: optimized geometry, PBE.

abc: 6.5875 6.5875 4.2076
angles: 90.00 90.00 90.00
Space group P4/mbm (No. 127)
Unique sites:
Mg  0.1730  0.3270  0.0000
Ge  0.1373  0.6373  0.5000
Pd  0.0000  0.0000  0.5000

ΔH_f (0 K)	-0.351	eV/atom
spin magnetization	0.0	μB per formula unit

Electronic total energy, record by record: -41.53, -291.01, -38.74 eV for the cell shown